A geometry-optimized TlAg2Sb structure. Source: the Alexandria database, functional PBE.

The calculation puts the density of states at the Fermi level at 0.39 states/eV/atom. As for the crystal system: monoclinic. Its raw formation energy is 123 meV per atom. Its spin magnetization is 0.00 μB per formula unit.

```
TlAg2Sb
1.0
3.4283 0.0000 0.0000
0.0000 5.0768 0.0000
-0.0075 0.0000 5.6640
Tl Ag Sb
1 2 1
Direct
0.0000 0.0000 0.0000 Tl
0.4976 0.5000 0.2044 Ag
0.4997 0.0000 0.4795 Ag
0.5035 0.5000 0.6992 Sb
```